No. 1
Compound: MnRuNF2
Source: Alexandria via LeMat-Bulk
Functional: GGA+U
Structure: relaxed

Cell lengths 3.928, 3.928, 4.147 Å; angles 90.00, 90.00, 90.00 degrees
Fractional positions:
Mn (0.000, 0.000, 0.000)
Ru (0.500, 0.500, 0.500)
N (0.000, 0.000, 0.500)
F (0.000, 0.500, 0.000)
F (0.500, 0.000, 0.000)

Computed properties:
For the energy, the calculation gives -29.37 eV per formula unit.

No. 2
Compound: MnRuNF2
Source: Alexandria via LeMat-Bulk
Functional: GGA+U
Structure: relaxed

Cell lengths 4.283, 4.283, 3.757 Å; angles 90.00, 90.00, 90.00 degrees
Fractional positions:
Mn (0.000, 0.000, 0.000)
Ru (0.500, 0.500, 0.500)
N (0.500, 0.500, 0.000)
F (0.000, 0.500, 0.500)
F (0.500, 0.000, 0.500)

Computed properties:
For the energy, the calculation gives -31.11 eV per formula unit.

No. 3
Compound: MnSNF2
Source: Alexandria via LeMat-Bulk
Functional: GGA+U
Structure: relaxed

Cell lengths 4.661, 4.661, 3.310 Å; angles 90.00, 90.00, 90.00 degrees
Fractional positions:
Mn (0.000, 0.000, 0.000)
S (0.500, 0.500, 0.500)
N (0.500, 0.500, 0.000)
F (0.000, 0.500, 0.500)
F (0.500, 0.000, 0.500)

Computed properties:
For the energy, the calculation gives -24.31 eV per formula unit.